# 1
Here is an optimized crystal structure of Tb7Sm2Tm from Alexandria. Energies are from GGA-PBE.

Unit cell a=5.4547 b=8.9013 c=9.5253 alpha=118.12 beta=106.62 gamma=52.23
Fractional positions:
Tb: 0.9995 0.8021 0.6036
Tb: 0.2528 0.3549 0.2144
Sm: 0.4996 0.3010 0.6015
Sm: 0.5004 0.6990 0.3985
Tb: 0.7472 0.6451 0.7856
Tm: 0.0000 0.0000 0.0000
Tb: 0.2506 0.1421 0.7857
Tb: 0.5000 0.5000 0.0000
Tb: 0.0005 0.1979 0.3964
Tb: 0.7494 0.8579 0.2143

Density in Mg/m³: 8.15
Crystal system: monoclinic
Formation enthalpy at 0 K in eV per atom: 0.057
Symmetry: C2/m, No. 12
Uncorrected energy in eV per atom: -4.575

***

# 2
Here is an optimized crystal structure of PaNbFe2 from Alexandria. Energies are from GGA-PBE.

Unit cell a=3.0026 b=3.0026 c=7.0594 alpha=90.00 beta=90.00 gamma=90.00
Fractional positions:
Nb: 0.5000 0.5000 0.0000
Fe: 0.0000 0.0000 0.7904
Pa: 0.5000 0.5000 0.5000
Fe: 0.0000 0.0000 0.2096

Density in Mg/m³: 11.37
Crystal system: tetragonal
Formation enthalpy at 0 K in eV per atom: -0.053
Symmetry: P4/mmm, No. 123
Uncorrected energy in eV per atom: -9.176

***

# 3
Here is an optimized crystal structure of SmAs6Pd12 from Alexandria. Energies are from GGA-PBE.

Unit cell a=7.2889 b=7.2889 c=7.2889 alpha=105.07 beta=105.07 gamma=105.07
Fractional positions:
Sm: 0.0000 0.0000 0.0000
Pd: 0.8530 0.6044 0.6044
As: 0.7482 0.3259 0.7482
As: 0.6741 0.2518 0.2518
Pd: 0.5000 0.8750 0.1250
Pd: 0.8750 0.1250 0.5000
As: 0.7482 0.7482 0.3259
Pd: 0.6044 0.6044 0.8530
Pd: 0.8750 0.5000 0.1250
Pd: 0.5000 0.1250 0.8750
As: 0.2518 0.6741 0.2518
Pd: 0.1470 0.3956 0.3956
As: 0.2518 0.2518 0.6741
As: 0.3259 0.7482 0.7482
Pd: 0.3956 0.3956 0.1470
Pd: 0.1250 0.8750 0.5000
Pd: 0.1250 0.5000 0.8750
Pd: 0.3956 0.1470 0.3956
Pd: 0.6044 0.8530 0.6044

Density in Mg/m³: 9.22
Crystal system: trigonal
Formation enthalpy at 0 K in eV per atom: -0.366
Symmetry: R-3m, No. 166
Uncorrected energy in eV per atom: -5.362

***

# 4
Here is an optimized crystal structure of YMnHRh2 from Alexandria. Energies are from GGA-PBE.

Unit cell a=4.3047 b=4.3047 c=3.7823 alpha=90.00 beta=90.00 gamma=90.00
Each line ends with the local moment (μB).
Fractional positions:
Rh: 0.5000 0.0000 0.0000  0.37
Y: 0.5000 0.5000 0.5000  -0.03
Mn: 0.0000 0.0000 0.5000  3.71
H: 0.0000 0.0000 0.0000  -0.02
Rh: 0.0000 0.5000 0.0000  0.37

Density in Mg/m³: 8.31
Crystal system: tetragonal
Symmetry: P4/mmm, No. 123
Uncorrected energy in eV per atom: -7.119

***

# 5
Here is an optimized crystal structure of Ba2PaPtO6 from Alexandria. Energies are from GGA-PBE.

Unit cell a=5.7177 b=6.0278 c=6.0278 alpha=120.00 beta=90.00 gamma=90.00
Each line ends with the local moment (μB).
Fractional positions:
O: 0.7586 0.6820 0.8410  0.05
O: 0.7586 0.1590 0.8410  0.05
O: 0.7586 0.1590 0.3180  0.05
O: 0.2414 0.3180 0.1590  0.05
Ba: 0.1353 0.3333 0.6667  0.00
O: 0.2414 0.8410 0.1590  0.05
O: 0.2414 0.8410 0.6820  0.05
Pt: 0.0000 0.0000 0.0000  0.52
Pa: 0.5000 0.0000 0.0000  0.07
Ba: 0.8647 0.6667 0.3333  0.00

Density in Mg/m³: 7.35
Crystal system: trigonal
Formation energy from raw total energies in eV per atom: -2.297
Symmetry: P-3m1, No. 164
Uncorrected energy in eV per atom: -7.210

***

# 6
Here is an optimized crystal structure of SrTl2CrIn from Alexandria. Energies are from GGA-PBE.

Unit cell a=6.0074 b=6.0252 c=6.0074 alpha=90.00 beta=90.00 gamma=90.00
Each line ends with the local moment (μB).
Fractional positions:
Sr: 0.0000 0.0000 0.0000  0.00
Cr: 0.5000 0.5000 0.5000  -0.58
In: 0.0000 0.5000 0.0000  0.00
Tl: 0.0000 0.0000 0.5000  -0.01
Tl: 0.5000 0.0000 0.0000  0.01

Density in Mg/m³: 5.06
Crystal system: tetragonal
Formation enthalpy at 0 K in eV per atom: 1.685
Symmetry: P4/mmm, No. 123
Uncorrected energy in eV per atom: -2.071